Version A
Computed, not measured: a geometry-optimized Sm2Y7Tm structure at the PBE level of DFT.

Cell lengths 14.8263, 14.8263, 3.5207 Å; angles 90.00, 90.00, 154.62 degrees
Closest atoms and distances in Å follow each position.
Sites, in units of the cell vectors:
Sm: 0.2078 0.7922 0.0000  2 Sm 3.52, 8 Y 3.54-3.76
Sm: 0.7922 0.2078 0.0000  2 Sm 3.52, 8 Y 3.54-3.76
Y: 0.0000 0.0000 0.0000  6 Y 3.28-3.52
Y: 0.1566 0.3525 0.0000  7 Y 3.20-3.52
Y: 0.3139 0.6861 0.5000  6 Y 3.49-3.52, 6 Sm 3.54-3.76
Y: 0.3525 0.1566 0.0000  7 Y 3.20-3.52
Y: 0.6475 0.8434 0.0000  7 Y 3.20-3.52
Y: 0.6861 0.3139 0.5000  6 Y 3.49-3.52, 6 Sm 3.54-3.76
Y: 0.8434 0.6475 0.0000  7 Y 3.20-3.52
Tm: 0.5000 0.5000 0.5000  2 Tm 3.52, 12 Y 3.70

Total magnetic moment, Bohr magnetons per cell: 0.00

=====

Version B
Computed, not measured: a geometry-optimized Sm2Y7Tm structure at the PBE level of DFT.

Cell lengths 6.1807, 7.1513, 7.9843 Å; angles 102.91, 97.30, 106.74 degrees
Closest atoms and distances in Å follow each position.
Sites, in units of the cell vectors:
Sm: 0.1019 0.2005 0.1988  10 Y 3.55-3.59, 1 Tm 3.55, 1 Sm 3.57
Sm: 0.8981 0.7995 0.8012  10 Y 3.55-3.59, 1 Tm 3.55, 1 Sm 3.57
Y: 0.1000 0.6996 0.1986  3 Sm 3.56-3.58, 7 Y 3.56-3.59, 2 Tm 3.56-3.57
Y: 0.2996 0.1005 0.5999  9 Y 3.57-3.59, 1 Tm 3.58, 2 Sm 3.58-3.59
Y: 0.2997 0.5994 0.6002  3 Sm 3.57-3.58, 8 Y 3.57-3.58, 1 Tm 3.57
Y: 0.5000 0.0000 0.0000  4 Sm 3.55-3.58, 6 Y 3.56-3.58, 2 Tm 3.58
Y: 0.7003 0.4006 0.3998  3 Sm 3.57-3.58, 8 Y 3.57-3.58, 1 Tm 3.57
Y: 0.7004 0.8995 0.4001  9 Y 3.57-3.59, 1 Tm 3.58, 2 Sm 3.58-3.59
Y: 0.9000 0.3004 0.8014  3 Sm 3.56-3.58, 7 Y 3.56-3.59, 2 Tm 3.56-3.57
Tm: 0.5000 0.5000 0.0000  2 Sm 3.55, 10 Y 3.56-3.58

Total magnetic moment, Bohr magnetons per cell: 0.00

=====

Which structure is the most stable? The one labeled version B.